This record from Alexandria via LeMat-Bulk describes a PBEsol-optimized structure of LiFeP2O7. The functional is meta-GGA SCAN.

Computed properties:
calculated density	3.278	Mg/m³
energy relative to the lowest polymorph listed for this composition	27	meV per atom
symmetry	P2_1/c
N(E_F)	0.000	states/eV/atom
formation energy (no corrections)	-2.33	eV/atom
calculated volume	10.9	Å³ per atom

a b c (Å): 6.675 8.083 9.288
angles (deg): 90.00 106.80 90.00
Sites, in units of the cell vectors:
Fe (0.281, 0.275, 0.497)
P (0.537, 0.087, 0.794)
P (0.049, 0.467, 0.713)
O (0.392, 0.086, 0.632)
P (0.049, 0.033, 0.213)
P (0.951, 0.533, 0.287)
Fe (0.719, 0.775, 0.003)
O (0.932, 0.827, 0.892)
Li (0.791, 0.392, 0.950)
O (0.485, 0.737, 0.611)
Li (0.791, 0.108, 0.450)
O (0.068, 0.327, 0.608)
Fe (0.281, 0.225, 0.997)
O (0.485, 0.763, 0.111)
O (0.068, 0.173, 0.108)
O (0.228, 0.606, 0.721)
O (0.608, 0.586, 0.868)
O (0.079, 0.412, 0.878)
O (0.392, 0.414, 0.132)
O (0.472, 0.421, 0.632)
Li (0.209, 0.892, 0.550)
O (0.772, 0.394, 0.279)
O (0.515, 0.263, 0.389)
O (0.515, 0.237, 0.889)
O (0.152, 0.435, 0.343)
P (0.463, 0.587, 0.706)
O (0.528, 0.921, 0.868)
O (0.079, 0.088, 0.378)
O (0.848, 0.565, 0.657)
P (0.951, 0.967, 0.787)
O (0.932, 0.673, 0.392)
O (0.772, 0.106, 0.779)
O (0.528, 0.579, 0.368)
Fe (0.719, 0.725, 0.503)
O (0.921, 0.912, 0.622)
O (0.848, 0.935, 0.157)
P (0.463, 0.913, 0.206)
O (0.608, 0.914, 0.368)
O (0.472, 0.079, 0.132)
P (0.537, 0.413, 0.294)
O (0.152, 0.065, 0.843)
O (0.921, 0.588, 0.122)
O (0.228, 0.894, 0.221)
Li (0.209, 0.608, 0.050)